(1)
DFT (GGA-PBE) results for a relaxed Ti7Pd12Pt crystal.

The total magnetic moment comes out at 0.64 μB per formula unit. As for the mass density: 9.45 g/cm3. Its space-group type is R-3, No. 148. As for the formation energy: -533 meV per atom.

a b c (Å): 7.2639 7.2639 7.2639
angles (deg): 107.18 107.18 107.18
Fractional positions:
Ti: 0.0000 0.0000 0.0000
Ti: 0.0742 0.4013 0.3012
Ti: 0.3012 0.0742 0.4013
Ti: 0.4013 0.3012 0.0742
Ti: 0.5987 0.6988 0.9258
Ti: 0.6988 0.9258 0.5987
Ti: 0.9258 0.5987 0.6988
Pd: 0.0081 0.6904 0.1121
Pd: 0.1121 0.0081 0.6904
Pd: 0.2150 0.4128 0.6797
Pd: 0.3096 0.8879 0.9919
Pd: 0.3203 0.7850 0.5872
Pd: 0.4128 0.6797 0.2150
Pd: 0.5872 0.3203 0.7850
Pd: 0.6797 0.2150 0.4128
Pd: 0.6904 0.1121 0.0081
Pd: 0.7850 0.5872 0.3203
Pd: 0.8879 0.9919 0.3096
Pd: 0.9919 0.3096 0.8879
Pt: 0.5000 0.5000 0.5000

=====

(2)
DFT (GGA-PBE) results for a relaxed LaRu2Au crystal.

The total magnetic moment comes out at 0.00 μB per formula unit. As for the mass density: 11.99 g/cm3. Its space-group type is P4/mmm, No. 123. For the energy above the most stable polymorph in this dataset, the calculation gives 0.0205 eV/atom. As for the formation energy: 105 meV per atom.

a b c (Å): 4.2838 4.2838 4.0616
angles (deg): 90.00 90.00 90.00
Fractional positions:
La: 0.0000 0.0000 0.0000
Ru: 0.0000 0.5000 0.5000
Ru: 0.5000 0.0000 0.5000
Au: 0.5000 0.5000 0.0000

=====

(3)
DFT (GGA-PBE) results for a relaxed BaTe2RuN crystal.

The total magnetic moment comes out at 4.45 μB per formula unit. As for the mass density: 4.63 g/cm3. Its space-group type is P4/mmm, No. 123. For the energy above the most stable polymorph in this dataset, the calculation gives 2.0821 eV/atom. The formation energy from raw total energies comes out at 8.73 eV/f.u.

a b c (Å): 6.4635 6.4635 4.3591
angles (deg): 90.00 90.00 90.00
Fractional positions:
Ba: 0.0000 0.0000 0.0000
Te: 0.0000 0.5000 0.0000
Te: 0.5000 0.0000 0.0000
Ru: 0.5000 0.5000 0.5000
N: 0.0000 0.0000 0.5000

=====

(4)
DFT (GGA-PBE) results for a relaxed TlHg3P crystal.

The total magnetic moment comes out at 2.29 μB per formula unit. As for the mass density: 6.81 g/cm3. Its space-group type is Pm-3m, No. 221. For the energy above the most stable polymorph in this dataset, the calculation gives 0.4931 eV/atom. As for the formation energy: 734 meV per atom.

a b c (Å): 5.8893 5.8893 5.8893
angles (deg): 90.00 90.00 90.00
Fractional positions:
Tl: 0.0000 0.0000 0.0000
Hg: 0.0000 0.0000 0.5000
Hg: 0.0000 0.5000 0.0000
Hg: 0.5000 0.0000 0.0000
P: 0.5000 0.5000 0.5000